Record 1
This record from Alexandria via LeMat-Bulk describes a geometry-optimized Pm2NdU structure. The functional is PBE-GGA.

a = 3.3728 Å, b = 3.3728 Å, c = 37.7389 Å
α = 90.00°, β = 90.00°, γ = 120.00°
With the nearest neighbours (Å) after each atom.
Space group R-3m (No. 166, hexagonal axes)
Unique sites:
1 Pm 0.0000 0.0000 0.0857 (multiplicity 6)  1 U 3.23, 6 Pm 3.37
2 Nd 0.0000 0.0000 0.5000 (multiplicity 3)  6 Nd 3.37, 6 Pm 3.62
3 U 0.0000 0.0000 0.0000 (multiplicity 3)  2 Pm 3.23, 6 U 3.37

energy of formation	500	meV per atom
DFT total energy	-5.8889	eV per atom



Record 2
This record from Alexandria via LeMat-Bulk describes a geometry-optimized TlGaO2 structure. The functional is PBE-GGA.

a = 3.3788 Å, b = 22.1846 Å, c = 3.5444 Å
α = 90.00°, β = 90.00°, γ = 90.00°
With the nearest neighbours (Å) after each atom.
Space group Cmcm (No. 63)
Unique sites:
1 Tl 0.0000 0.0918 0.2500 (multiplicity 4)  2 O 2.08
2 Ga 0.0000 0.3000 0.2500 (multiplicity 4)  1 O 1.92
3 O 0.0000 0.0425 0.7500 (multiplicity 4)  2 Tl 2.08
4 O 0.0000 0.2135 0.2500 (multiplicity 4)  1 Ga 1.92

DFT total energy	-4.2141	eV per atom



Record 3
This record from Alexandria via LeMat-Bulk describes a geometry-optimized CeSm5In3 structure. The functional is PBE-GGA.

a = 9.5420 Å, b = 9.5420 Å, c = 6.8094 Å
α = 90.00°, β = 90.00°, γ = 120.00°
With the nearest neighbours (Å) after each atom.
Space group P6_3/mcm (No. 193)
Unique sites:
1 Ce 0.0000 0.0000 0.0000 (multiplicity 2)  2 Ce 3.40, 6 Sm 3.55, 6 In 3.65
2 Sm 0.0000 0.3269 0.2500 (multiplicity 6)  5 In 3.18-3.41, 2 Ce 3.55
3 Sm 0.3333 0.6667 0.0000 (multiplicity 4)  8 Sm 3.40-3.64, 6 In 3.58
4 In 0.0000 0.3388 0.7500 (multiplicity 6)  5 Sm 3.18-3.41

energy of formation	-333	meV per atom
DFT total energy	-4.5274	eV per atom



Record 4
This record from Alexandria via LeMat-Bulk describes a geometry-optimized NdErHg4 structure. The functional is PBE-GGA.

a = 8.4619 Å, b = 8.4619 Å, c = 8.4619 Å
α = 90.00°, β = 90.00°, γ = 90.00°
With the nearest neighbours (Å) after each atom.
Space group F-43m (No. 216)
Unique sites:
1 Nd 0.0000 0.0000 0.0000 (multiplicity 4)  12 Hg 3.51, 4 Er 3.66
2 Er 0.2500 0.2500 0.7500 (multiplicity 4)  12 Hg 3.51, 4 Nd 3.66
3 Hg 0.1250 0.1250 0.3750 (multiplicity 16)  6 Hg 2.99

energy of formation	-217	meV per atom
DFT total energy	-1.9730	eV per atom



Record 5
This record from Alexandria via LeMat-Bulk describes a geometry-optimized NdInGa2Au5 structure. The functional is PBE-GGA.

a = 4.9949 Å, b = 4.9949 Å, c = 7.6847 Å
α = 90.00°, β = 90.00°, γ = 90.00°
With the nearest neighbours (Å) after each atom.
Space group P4/mmm (No. 123)
Unique sites:
1 Nd 0.0000 0.0000 0.0000 (multiplicity 1)  8 Au 3.12
2 In 0.0000 0.0000 0.5000 (multiplicity 1)  8 Au 3.18
3 Ga 0.5000 0.5000 0.3413 (multiplicity 2)  1 Ga 2.44, 5 Au 2.61-2.62
4 Au 0.0000 0.5000 0.2431 (multiplicity 4)  2 Ga 2.61
5 Au 0.5000 0.5000 0.0000 (multiplicity 1)  2 Ga 2.62

energy of formation	-333	meV per atom
DFT total energy	-3.6606	eV per atom